No. 1
{"formula": "NaTb3Au4", "functional": "PBE", "state": "optimized geometry", "cell": [[2.5351, 1.4636, 8.3043], [-2.5351, 1.4636, 8.3043], [0.0000, -2.9272, 8.3043]], "species": ["Na", "Tb", "Tb", "Tb", "Au", "Au", "Au", "Au"], "frac_coords": [[0.0000, 0.0000, 0.0000], [0.2554, 0.2554, 0.2554], [0.5000, 0.5000, 0.5000], [0.7446, 0.7446, 0.7446], [0.1332, 0.1332, 0.1332], [0.3795, 0.3795, 0.3795], [0.6205, 0.6205, 0.6205], [0.8668, 0.8668, 0.8668]], "mass_density_g_cm3": 11.566}

No. 2
{"formula": "NaTcAu2", "functional": "PBE", "state": "optimized geometry", "cell": [[6.6211, 0.0000, 0.0000], [0.0000, 6.6211, 0.0000], [0.0000, 0.0000, 6.6211]], "species": ["Na", "Na", "Na", "Na", "Tc", "Tc", "Tc", "Tc", "Au", "Au", "Au", "Au", "Au", "Au", "Au", "Au"], "frac_coords": [[0.0000, 0.0000, 0.0000], [0.0000, 0.5000, 0.5000], [0.5000, 0.0000, 0.5000], [0.5000, 0.5000, 0.0000], [0.0000, 0.0000, 0.5000], [0.0000, 0.5000, 0.0000], [0.5000, 0.0000, 0.0000], [0.5000, 0.5000, 0.5000], [0.2500, 0.2500, 0.2500], [0.2500, 0.2500, 0.7500], [0.2500, 0.7500, 0.2500], [0.2500, 0.7500, 0.7500], [0.7500, 0.2500, 0.2500], [0.7500, 0.2500, 0.7500], [0.7500, 0.7500, 0.2500], [0.7500, 0.7500, 0.7500]], "polymorph_energy_ev_per_fu": 0.00, "mass_density_g_cm3": 11.783}

No. 3
{"formula": "NaTcAu3", "functional": "PBE", "state": "optimized geometry", "cell": [[5.1191, 0.0000, 0.0000], [0.0000, 5.1191, 0.0000], [0.0000, 0.0000, 5.1191]], "species": ["Na", "Tc", "Au", "Au", "Au"], "frac_coords": [[0.0000, 0.0000, 0.0000], [0.5000, 0.5000, 0.5000], [0.0000, 0.5000, 0.5000], [0.5000, 0.0000, 0.5000], [0.5000, 0.5000, 0.0000]], "polymorph_energy_ev_per_fu": 0.00, "mass_density_g_cm3": 8.812}

Short version: formation enthalpy at 0 K = -71.2; 36.8; 61.4 kJ/mol of atoms, in the order given.
Short version: total DFT energy (no corrections) = -34.22; -66.86; -18.33 eV per cell, in the order given.